one.
Density functional theory data (PBE-GGA) for an optimized crystal structure of Ba4Nb4O11.

The structure in POSCAR format:
```
Ba4Nb4O11
1.0
5.8222 0.0000 0.0000
0.0000 8.2506 0.0000
0.0000 0.0000 5.8223
Ba Nb O
4 4 11
Direct
0.0000 0.0000 0.0000
0.0007 0.5000 0.9998
0.5000 0.0000 0.4997
0.5007 0.5000 0.4999
0.0004 0.2483 0.4999
0.0004 0.7517 0.4999
0.5004 0.2490 0.9998
0.5004 0.7510 0.9998
0.0001 0.0000 0.5009
0.2487 0.2516 0.7504
0.2487 0.7484 0.7504
0.2509 0.2507 0.2515
0.2509 0.7493 0.2515
0.5001 0.0000 0.9989
0.5007 0.5000 0.0011
0.7498 0.2515 0.7483
0.7498 0.7485 0.7483
0.7520 0.2506 0.2494
0.7520 0.7494 0.2494
```

Its density is 6.51 g/cm³.


two.
Density functional theory data (PBE-GGA) for an optimized crystal structure of Ba4Nb4O11.

The structure in POSCAR format:
```
Ba4Nb4O11
1.0
8.2355 0.0000 0.0000
0.0000 4.1292 4.1177
0.0000 -4.1292 4.1177
Ba Nb O
4 4 11
Direct
0.2496 0.0000 0.0000
0.2495 0.5002 0.5002
0.7504 0.0000 0.0000
0.7505 0.5002 0.5002
0.0000 0.0006 0.4995
0.0000 0.4995 0.0006
0.5000 0.0010 0.4990
0.5000 0.4990 0.0010
0.0000 0.2492 0.7509
0.0000 0.2508 0.2508
0.0000 0.7492 0.7492
0.0000 0.7509 0.2492
0.2514 0.5040 0.9968
0.2514 0.9968 0.5040
0.5000 0.2497 0.7508
0.5000 0.2514 0.2514
0.5000 0.7508 0.2497
0.7486 0.5040 0.9968
0.7486 0.9968 0.5040
```

Its density is 6.50 g/cm³.


Stability ranking, top and bottom: one is the most stable and two is the least stable.


one.
Density functional theory data (PBE-GGA) for an optimized crystal structure of BaScNb.

The structure in POSCAR format:
```
BaScNb
1.0
0.0000 3.6473 3.6473
3.6473 0.0000 3.6473
3.6473 3.6473 0.0000
Ba Sc Nb
1 1 1
Direct
0.0000 0.0000 0.0000
0.5000 0.5000 0.5000
0.2500 0.2500 0.2500
```

Its density is 4.71 g/cm³.


two.
Density functional theory data (PBE-GGA) for an optimized crystal structure of BaScNb.

The structure in POSCAR format:
```
BaScNb
1.0
0.0000 3.5444 3.5444
3.5444 0.0000 3.5444
3.5444 3.5444 0.0000
Ba Sc Nb
1 1 1
Direct
0.0000 0.0000 0.0000
0.2500 0.2500 0.2500
0.7500 0.7500 0.7500
```

Its density is 5.13 g/cm³.


Stability ranking, top and bottom: one is the most stable and two is the least stable.


one.
Density functional theory data (PBE-GGA) for an optimized crystal structure of BaTaNb.

The structure in POSCAR format:
```
BaTaNb
1.0
0.0000 3.4236 3.4236
3.4236 0.0000 3.4236
3.4236 3.4236 0.0000
Ba Ta Nb
1 1 1
Direct
0.0000 0.0000 0.0000
0.5000 0.5000 0.5000
0.2500 0.2500 0.2500
```

Its density is 8.51 g/cm³.


two.
Density functional theory data (PBE-GGA) for an optimized crystal structure of BaTaNb.

The structure in POSCAR format:
```
BaTaNb
1.0
0.0000 3.3809 3.3809
3.3809 0.0000 3.3809
3.3809 3.3809 0.0000
Ba Ta Nb
1 1 1
Direct
0.0000 0.0000 0.0000
0.2500 0.2500 0.2500
0.7500 0.7500 0.7500
```

Its density is 8.83 g/cm³.


Stability ranking, top and bottom: one is the most stable and two is the least stable.


one.
Density functional theory data (PBE-GGA) for an optimized crystal structure of BaNbTe.

The structure in POSCAR format:
```
BaNbTe
1.0
0.0000 3.9564 3.9564
3.9564 0.0000 3.9564
3.9564 3.9564 0.0000
Ba Nb Te
1 1 1
Direct
0.0000 0.0000 0.0000
0.7500 0.7500 0.7500
0.2500 0.2500 0.2500
```

Its density is 4.80 g/cm³.


two.
Density functional theory data (PBE-GGA) for an optimized crystal structure of BaNbTe.

The structure in POSCAR format:
```
BaNbTe
1.0
0.0000 3.7450 3.7450
3.7450 0.0000 3.7450
3.7450 3.7450 0.0000
Ba Nb Te
1 1 1
Direct
0.0000 0.0000 0.0000
0.2500 0.2500 0.2500
0.5000 0.5000 0.5000
```

Its density is 5.66 g/cm³.


Stability ranking, top and bottom: two is the most stable and one is the least stable.


one.
Density functional theory data (PBE-GGA) for an optimized crystal structure of BaNbW.

The structure in POSCAR format:
```
BaNbW
1.0
0.0000 3.3885 3.3885
3.3885 0.0000 3.3885
3.3885 3.3885 0.0000
Ba Nb W
1 1 1
Direct
0.0000 0.0000 0.0000
0.5000 0.5000 0.5000
0.2500 0.2500 0.2500
```

Its density is 8.84 g/cm³.


two.
Density functional theory data (PBE-GGA) for an optimized crystal structure of BaNbW.

The structure in POSCAR format:
```
BaNbW
1.0
0.0000 3.3381 3.3381
3.3381 0.0000 3.3381
3.3381 3.3381 0.0000
Ba Nb W
1 1 1
Direct
0.0000 0.0000 0.0000
0.7500 0.7500 0.7500
0.2500 0.2500 0.2500
```

Its density is 9.24 g/cm³.


Stability ranking, top and bottom: one is the most stable and two is the least stable.


one.
Density functional theory data (PBE-GGA) for an optimized crystal structure of BaYNb.

The structure in POSCAR format:
```
BaYNb
1.0
0.0000 3.8097 3.8097
3.8097 0.0000 3.8097
3.8097 3.8097 0.0000
Ba Y Nb
1 1 1
Direct
0.0000 0.0000 0.0000
0.5000 0.5000 0.5000
0.7500 0.7500 0.7500
```

Its density is 4.79 g/cm³.


two.
Density functional theory data (PBE-GGA) for an optimized crystal structure of BaYNb.

The structure in POSCAR format:
```
BaYNb
1.0
0.0000 3.6815 3.6815
3.6815 0.0000 3.6815
3.6815 3.6815 0.0000
Ba Y Nb
1 1 1
Direct
0.0000 0.0000 0.0000
0.2500 0.2500 0.2500
0.7500 0.7500 0.7500
```

Its density is 5.31 g/cm³.


Stability ranking, top and bottom: one is the most stable and two is the least stable.


one.
Density functional theory data (PBE-GGA) for an optimized crystal structure of BaNbZn.

The structure in POSCAR format:
```
BaNbZn
1.0
0.0000 3.8343 3.8343
3.8343 0.0000 3.8343
3.8343 3.8343 0.0000
Ba Nb Zn
1 1 1
Direct
0.0000 0.0000 0.0000
0.7500 0.7500 0.7500
0.2500 0.2500 0.2500
```

Its density is 4.35 g/cm³.


two.
Density functional theory data (PBE-GGA) for an optimized crystal structure of BaNbZn.

The structure in POSCAR format:
```
BaNbZn
1.0
0.0000 3.5253 3.5253
3.5253 0.0000 3.5253
3.5253 3.5253 0.0000
Ba Nb Zn
1 1 1
Direct
0.0000 0.0000 0.0000
0.2500 0.2500 0.2500
0.5000 0.5000 0.5000
```

Its density is 5.60 g/cm³.


Stability ranking, top and bottom: two is the most stable and one is the least stable.